Model 1:
# SmScZn2Sn2 (PBE-GGA, relaxed)
# - SG = P6_3/mmc
# - V (A^3/atom) = 22.4
data_SmScZn2Sn2
_chemical_formula_sum 'Sm2 Sc2 Zn4 Sn4'
_symmetry_space_group_name_H-M 'P 1'
_symmetry_Int_Tables_number 1
_cell_length_a 4.513
_cell_length_b 4.513
_cell_length_c 15.204
_cell_angle_alpha 90.00
_cell_angle_beta 90.00
_cell_angle_gamma 120.00
loop_
_symmetry_equiv_pos_as_xyz
'x,y,z'
loop_
_atom_site_label
_atom_site_fract_x
_atom_site_fract_y
_atom_site_fract_z
Sc1 0.000 0.000 0.000
Sc2 0.000 0.000 0.500
Sm1 0.000 0.000 0.250
Sm2 0.000 0.000 0.750
Sn1 0.667 0.333 0.105
Sn2 0.667 0.333 0.395
Sn3 0.333 0.667 0.605
Sn4 0.333 0.667 0.895
Zn1 0.333 0.667 0.152
Zn2 0.333 0.667 0.348
Zn3 0.667 0.333 0.652
Zn4 0.667 0.333 0.848

Model 2:
# SmScZn2Sn2 (PBE-GGA, relaxed)
# - SG = P6_3/mmc
# - V (A^3/atom) = 22.5
data_SmScZn2Sn2
_chemical_formula_sum 'Sm2 Sc2 Zn4 Sn4'
_symmetry_space_group_name_H-M 'P 1'
_symmetry_Int_Tables_number 1
_cell_length_a 4.461
_cell_length_b 4.461
_cell_length_c 15.653
_cell_angle_alpha 90.00
_cell_angle_beta 90.00
_cell_angle_gamma 120.00
loop_
_symmetry_equiv_pos_as_xyz
'x,y,z'
loop_
_atom_site_label
_atom_site_fract_x
_atom_site_fract_y
_atom_site_fract_z
Sc1 0.000 0.000 0.250
Sc2 0.000 0.000 0.750
Sm1 0.000 0.000 0.000
Sm2 0.000 0.000 0.500
Sn1 0.667 0.333 0.120
Sn2 0.667 0.333 0.380
Sn3 0.333 0.667 0.620
Sn4 0.333 0.667 0.880
Zn1 0.333 0.667 0.166
Zn2 0.333 0.667 0.334
Zn3 0.667 0.333 0.666
Zn4 0.667 0.333 0.834

Relative to the most stable one, in meV per atom, the structures come out at model 1 25; model 2 0.